Below is a relaxed YCd2W crystal, with properties calculated at the PBE level.

POSCAR file:
```
YCd2W
1.0
2.9998 0.0000 0.0000
0.0000 4.6723 0.0000
-1.4647 0.0000 6.0786
Y Cd W
1 2 1
Direct
0.0000 0.0000 0.0000
0.6283 0.5000 0.2570
0.7470 0.0000 0.5146
0.3691 0.5000 0.7410
```

Summary:
- Energy of formation from the pure elements: 427 meV/atom
- Crystal system: monoclinic
- Energy: -4.88 eV per atom
- Excess energy over the best structure of this formula in the dataset: 0.116 eV per atom
- SG: Pm (6)

=====

Below is a relaxed Cs3Cd6In crystal, with properties calculated at the PBE level.

POSCAR file:
```
Cs3Cd6In
1.0
6.7822 -3.5902 0.0000
6.7822 3.5902 0.0000
-2.9661 0.0000 7.4299
Cs Cd In
3 6 1
Direct
0.0000 0.0000 0.0000
0.4878 0.4878 0.7334
0.5122 0.5122 0.2666
0.0196 0.4375 0.8007
0.2079 0.2079 0.4335
0.4375 0.0196 0.8007
0.5625 0.9804 0.1993
0.7921 0.7921 0.5665
0.9804 0.5625 0.1993
0.0000 0.0000 0.5000
```

Summary:
- Energy of formation from the pure elements: 15 meV/atom
- Crystal system: monoclinic
- Energy: -1.06 eV per atom
- SG: C2/m (12)

=====

Below is a relaxed Nd3Tm2Ag2 crystal, with properties calculated at the PBE level.

POSCAR file:
```
Nd3Tm2Ag2
1.0
4.9496 0.0000 0.0000
0.0000 22.9170 0.0000
0.0000 0.0000 3.4897
Nd Tm Ag
6 4 4
Direct
0.0000 0.0000 0.0000
0.0000 0.1426 0.0000
0.0000 0.8574 0.0000
0.5000 0.3574 0.0000
0.5000 0.5000 0.0000
0.5000 0.6426 0.0000
0.0000 0.2913 0.5000
0.0000 0.7087 0.5000
0.5000 0.2087 0.5000
0.5000 0.7913 0.5000
0.0000 0.4285 0.5000
0.0000 0.5715 0.5000
0.5000 0.0715 0.5000
0.5000 0.9285 0.5000
```

Summary:
- Energy of formation from the pure elements: 38 meV/atom
- Crystal system: orthorhombic
- Energy: -4.10 eV per atom
- SG: Cmmm (65)

=====

Q: Look up the energy of the third one.
A: -4.10 eV per atom

=====

Q: Which value of energy of formation from the pure elements does entry 2 give?
A: 15 meV/atom